Record 1
The following is a GGA-PBEsol calculation of an optimized crystal structure of RbZnH2Se2ClO6, from Alexandria.

Cell lengths 6.3945, 6.0208, 10.7590 Å; angles 90.00, 102.44, 90.00 degrees
Sites, in units of the cell vectors:
Rb: 0.0000 0.1577 0.2500
Rb: 0.0000 0.8423 0.7500
Zn: 0.5000 0.4375 0.7500
Zn: 0.5000 0.5625 0.2500
H: 0.0709 0.3511 0.5904
H: 0.0709 0.6489 0.0904
H: 0.9291 0.3511 0.9096
H: 0.9291 0.6489 0.4096
Se: 0.2992 0.3154 0.9900
Se: 0.2992 0.6846 0.4900
Se: 0.7008 0.3154 0.5100
Se: 0.7008 0.6846 0.0100
Cl: 0.5000 0.0587 0.7500
Cl: 0.5000 0.9413 0.2500
O: 0.0370 0.2202 0.9237
O: 0.0370 0.7798 0.4237
O: 0.2399 0.4603 0.1174
O: 0.2399 0.5397 0.6174
O: 0.3242 0.4751 0.3867
O: 0.3242 0.5249 0.8867
O: 0.6758 0.4751 0.1133
O: 0.6758 0.5249 0.6133
O: 0.7601 0.4603 0.3826
O: 0.7601 0.5397 0.8826
O: 0.9630 0.2202 0.5763
O: 0.9630 0.7798 0.0763

Values from the calculation:
Crystal system   monoclinic
Total moment   0.00 μB/f.u.



Record 2
The following is a GGA-PBEsol calculation of an optimized crystal structure of Rb3TeH6Cl3O6, from Alexandria.

Cell lengths 9.0014, 9.0014, 9.0014 Å; angles 104.82, 104.82, 104.82 degrees
Sites, in units of the cell vectors:
Rb: 0.2047 0.7500 0.2953
Rb: 0.2500 0.7047 0.7953
Rb: 0.2953 0.2047 0.7500
Rb: 0.7047 0.7953 0.2500
Rb: 0.7500 0.2953 0.2047
Rb: 0.7953 0.2500 0.7047
Te: 0.0000 0.0000 0.0000
Te: 0.5000 0.5000 0.5000
H: 0.0604 0.0935 0.3010
H: 0.0935 0.3010 0.0604
H: 0.1990 0.4065 0.4396
H: 0.3010 0.0604 0.0935
H: 0.4065 0.4396 0.1990
H: 0.4396 0.1990 0.4065
H: 0.5604 0.8010 0.5935
H: 0.5935 0.5604 0.8010
H: 0.6990 0.9396 0.9065
H: 0.8010 0.5935 0.5604
H: 0.9065 0.6990 0.9396
H: 0.9396 0.9065 0.6990
Cl: 0.0180 0.2500 0.4820
Cl: 0.2500 0.4820 0.0180
Cl: 0.4820 0.0180 0.2500
Cl: 0.5180 0.9820 0.7500
Cl: 0.7500 0.5180 0.9820
Cl: 0.9820 0.7500 0.5180
O: 0.0014 0.7779 0.9285
O: 0.0715 0.9986 0.2221
O: 0.2221 0.0715 0.9986
O: 0.2779 0.5014 0.4285
O: 0.4285 0.2779 0.5014
O: 0.4986 0.5715 0.7221
O: 0.5014 0.4285 0.2779
O: 0.5715 0.7221 0.4986
O: 0.7221 0.4986 0.5715
O: 0.7779 0.9285 0.0014
O: 0.9285 0.0014 0.7779
O: 0.9986 0.2221 0.0715

Values from the calculation:
Crystal system   trigonal
Total moment   0.00 μB/f.u.



Record 3
The following is a GGA-PBEsol calculation of an optimized crystal structure of SmH2ClO2, from Alexandria.

Cell lengths 12.4686, 3.7106, 6.2245 Å; angles 90.00, 90.00, 90.00 degrees
Sites, in units of the cell vectors:
Sm: 0.0601 0.2500 0.2484
Sm: 0.4399 0.7500 0.7484
Sm: 0.5601 0.2500 0.2516
Sm: 0.9399 0.7500 0.7516
H: 0.1184 0.2500 0.7011
H: 0.1564 0.7500 0.9469
H: 0.3436 0.2500 0.4469
H: 0.3816 0.7500 0.2011
H: 0.6184 0.2500 0.7989
H: 0.6564 0.7500 0.5531
H: 0.8436 0.2500 0.0531
H: 0.8816 0.7500 0.2989
Cl: 0.2221 0.7500 0.4027
Cl: 0.2779 0.2500 0.9027
Cl: 0.7221 0.7500 0.0973
Cl: 0.7779 0.2500 0.5973
O: 0.0470 0.2500 0.6326
O: 0.0823 0.7500 0.0015
O: 0.4177 0.2500 0.5015
O: 0.4530 0.7500 0.1326
O: 0.5470 0.2500 0.8674
O: 0.5823 0.7500 0.4985
O: 0.9177 0.2500 0.9985
O: 0.9530 0.7500 0.3674

Values from the calculation:
Crystal system   orthorhombic
Total moment   0.00 μB/f.u.



Record 4
The following is a GGA-PBEsol calculation of an optimized crystal structure of SnH10Cl4O5, from Alexandria.

Cell lengths 7.8464, 7.8464, 8.4364 Å; angles 101.94, 101.94, 74.88 degrees
Sites, in units of the cell vectors:
Sn: 0.2442 0.7558 0.7500
Sn: 0.7558 0.2442 0.2500
H: 0.0292 0.1957 0.5182
H: 0.0693 0.3686 0.7535
H: 0.1034 0.7124 0.2763
H: 0.1133 0.1164 0.3339
H: 0.1164 0.1133 0.8339
H: 0.1957 0.0292 0.0182
H: 0.2876 0.8966 0.2237
H: 0.3402 0.5976 0.1559
H: 0.3686 0.0693 0.2535
H: 0.4024 0.6598 0.3441
H: 0.5976 0.3402 0.6559
H: 0.6314 0.9307 0.7465
H: 0.6598 0.4024 0.8441
H: 0.7124 0.1034 0.7763
H: 0.8043 0.9708 0.9818
H: 0.8836 0.8867 0.1661
H: 0.8867 0.8836 0.6661
H: 0.8966 0.2876 0.7237
H: 0.9307 0.6314 0.2465
H: 0.9708 0.8043 0.4818
Cl: 0.0902 0.6252 0.8988
Cl: 0.3010 0.4792 0.5607
Cl: 0.3748 0.9098 0.6012
Cl: 0.4792 0.3010 0.0607
Cl: 0.5208 0.6990 0.9393
Cl: 0.6252 0.0902 0.3988
Cl: 0.6990 0.5208 0.4393
Cl: 0.9098 0.3748 0.1012
O: 0.0049 0.1545 0.3939
O: 0.0280 0.2556 0.7116
O: 0.1545 0.0049 0.8939
O: 0.2556 0.0280 0.2116
O: 0.3084 0.6916 0.2500
O: 0.6916 0.3084 0.7500
O: 0.7444 0.9720 0.7884
O: 0.8455 0.9951 0.1061
O: 0.9720 0.7444 0.2884
O: 0.9951 0.8455 0.6061

Values from the calculation:
Crystal system   monoclinic
Total moment   0.00 μB/f.u.



Record 5
The following is a GGA-PBEsol calculation of an optimized crystal structure of SnH7Cl3O4, from Alexandria.

Cell lengths 9.7608, 6.2281, 15.0626 Å; angles 90.00, 125.80, 90.00 degrees
Sites, in units of the cell vectors:
Sn: 0.1722 0.0442 0.0046
Sn: 0.1722 0.4558 0.5046
Sn: 0.8278 0.5442 0.4954
Sn: 0.8278 0.9558 0.9954
H: 0.1059 0.6960 0.0922
H: 0.1059 0.8040 0.5922
H: 0.1234 0.5054 0.2172
H: 0.1234 0.9946 0.7172
H: 0.2574 0.1901 0.6784
H: 0.2574 0.3099 0.1784
H: 0.2842 0.6389 0.2512
H: 0.2842 0.8611 0.7512
H: 0.3023 0.5757 0.8462
H: 0.3023 0.9243 0.3462
H: 0.3259 0.0610 0.2269
H: 0.3259 0.4390 0.7269
H: 0.4865 0.6237 0.8811
H: 0.4865 0.8763 0.3811
H: 0.5135 0.1237 0.6189
H: 0.5135 0.3763 0.1189
H: 0.6741 0.5610 0.2731
H: 0.6741 0.9390 0.7731
H: 0.6977 0.0757 0.6538
H: 0.6977 0.4243 0.1538
H: 0.7158 0.1389 0.2488
H: 0.7158 0.3611 0.7488
H: 0.7426 0.6901 0.8216
H: 0.7426 0.8099 0.3216
H: 0.8766 0.0054 0.2828
H: 0.8766 0.4946 0.7828
H: 0.8941 0.1960 0.4078
H: 0.8941 0.3040 0.9078
Cl: 0.0300 0.5830 0.3183
Cl: 0.0300 0.9170 0.8183
Cl: 0.2601 0.1204 0.4704
Cl: 0.2601 0.3796 0.9704
Cl: 0.4257 0.6450 0.5742
Cl: 0.4257 0.8550 0.0742
Cl: 0.5743 0.1450 0.9258
Cl: 0.5743 0.3550 0.4258
Cl: 0.7399 0.6204 0.0296
Cl: 0.7399 0.8796 0.5296
Cl: 0.9700 0.0830 0.1817
Cl: 0.9700 0.4170 0.6817
O: 0.0477 0.6912 0.5316
O: 0.0477 0.8088 0.0316
O: 0.1983 0.5349 0.1942
O: 0.1983 0.9651 0.6942
O: 0.2974 0.1674 0.1669
O: 0.2974 0.3326 0.6669
O: 0.3656 0.6193 0.8168
O: 0.3656 0.8807 0.3167
O: 0.6344 0.1193 0.6832
O: 0.6344 0.3807 0.1832
O: 0.7026 0.6674 0.3331
O: 0.7026 0.8326 0.8331
O: 0.8017 0.0349 0.3058
O: 0.8017 0.4651 0.8058
O: 0.9523 0.1912 0.9684
O: 0.9523 0.3088 0.4684

Values from the calculation:
Crystal system   monoclinic
Total moment   0.00 μB/f.u.



Record 6
The following is a GGA-PBEsol calculation of an optimized crystal structure of Sn21H14Cl16O20, from Alexandria.

Cell lengths 15.4839, 15.4839, 15.4839 Å; angles 37.37, 37.37, 37.37 degrees
Sites, in units of the cell vectors:
Sn: 0.0000 0.2642 0.7358
Sn: 0.0140 0.7639 0.5075
Sn: 0.0669 0.0669 0.0669
Sn: 0.0964 0.6835 0.8284
Sn: 0.1716 0.3165 0.9036
Sn: 0.2361 0.9860 0.4925
Sn: 0.2642 0.7358 0.0000
Sn: 0.3024 0.3024 0.3024
Sn: 0.3165 0.9036 0.1716
Sn: 0.4081 0.4081 0.4081
Sn: 0.4925 0.2361 0.9860
Sn: 0.5075 0.0140 0.7639
Sn: 0.5919 0.5919 0.5919
Sn: 0.6835 0.8284 0.0964
Sn: 0.6976 0.6976 0.6976
Sn: 0.7358 0.0000 0.2642
Sn: 0.7639 0.5075 0.0140
Sn: 0.8284 0.0964 0.6835
Sn: 0.9036 0.1716 0.3165
Sn: 0.9331 0.9331 0.9331
Sn: 0.9860 0.4925 0.2361
H: 0.1399 0.4506 0.4519
H: 0.1771 0.1771 0.1771
H: 0.3054 0.5975 0.4809
H: 0.4025 0.6946 0.5191
H: 0.4506 0.4519 0.1399
H: 0.4519 0.1399 0.4506
H: 0.4809 0.3054 0.5975
H: 0.5191 0.4025 0.6946
H: 0.5481 0.5494 0.8601
H: 0.5494 0.8601 0.5481
H: 0.5975 0.4809 0.3054
H: 0.6946 0.5191 0.4025
H: 0.8229 0.8229 0.8229
H: 0.8601 0.5481 0.5494
Cl: 0.0422 0.7052 0.3702
Cl: 0.0614 0.3979 0.7390
Cl: 0.1308 0.8692 0.5000
Cl: 0.2610 0.6021 0.9386
Cl: 0.2948 0.9578 0.6298
Cl: 0.3702 0.0422 0.7052
Cl: 0.3979 0.7390 0.0614
Cl: 0.5000 0.1308 0.8692
Cl: 0.5000 0.5000 0.5000
Cl: 0.6021 0.9386 0.2610
Cl: 0.6298 0.2948 0.9578
Cl: 0.7052 0.3702 0.0422
Cl: 0.7390 0.0614 0.3979
Cl: 0.8692 0.5000 0.1308
Cl: 0.9386 0.2610 0.6021
Cl: 0.9578 0.6298 0.2948
O: 0.0456 0.9183 0.7265
O: 0.0817 0.9544 0.2735
O: 0.1544 0.1544 0.1544
O: 0.1674 0.3418 0.4954
O: 0.2692 0.6190 0.4315
O: 0.2735 0.0817 0.9544
O: 0.3418 0.4954 0.1674
O: 0.3810 0.7308 0.5685
O: 0.4315 0.2692 0.6190
O: 0.4954 0.1674 0.3418
O: 0.5046 0.6582 0.8326
O: 0.5685 0.3810 0.7308
O: 0.6190 0.4315 0.2692
O: 0.6582 0.8326 0.5046
O: 0.7265 0.0456 0.9183
O: 0.7308 0.5685 0.3810
O: 0.8326 0.5046 0.6582
O: 0.8456 0.8456 0.8456
O: 0.9183 0.7265 0.0456
O: 0.9544 0.2735 0.0817

Values from the calculation:
Crystal system   trigonal
Total moment   0.00 μB/f.u.



Record 7
The following is a GGA-PBEsol calculation of an optimized crystal structure of SnH6Cl4O3, from Alexandria.

Cell lengths 6.2100, 11.2104, 11.8128 Å; angles 90.00, 90.82, 90.00 degrees
Sites, in units of the cell vectors:
Sn: 0.1369 0.2339 0.3322
Sn: 0.1369 0.2661 0.8322
Sn: 0.8631 0.7339 0.1678
Sn: 0.8631 0.7661 0.6678
H: 0.0413 0.0604 0.7118
H: 0.0413 0.4396 0.2118
H: 0.0833 0.1578 0.0315
H: 0.0833 0.3422 0.5315
H: 0.1482 0.7213 0.4934
H: 0.1482 0.7787 0.9934
H: 0.1486 0.6597 0.8276
H: 0.1486 0.8403 0.3276
H: 0.4067 0.6556 0.9608
H: 0.4067 0.8444 0.4608
H: 0.4211 0.7338 0.3797
H: 0.4211 0.7662 0.8797
H: 0.5789 0.2338 0.1203
H: 0.5789 0.2662 0.6203
H: 0.5933 0.1556 0.5392
H: 0.5933 0.3444 0.0392
H: 0.8514 0.1597 0.6724
H: 0.8514 0.3403 0.1724
H: 0.8518 0.2213 0.0066
H: 0.8518 0.2787 0.5066
H: 0.9167 0.6578 0.4685
H: 0.9167 0.8422 0.9685
H: 0.9587 0.5604 0.7882
H: 0.9587 0.9396 0.2882
Cl: 0.1827 0.6146 0.1925
Cl: 0.1827 0.8854 0.6925
Cl: 0.2885 0.0886 0.4629
Cl: 0.2885 0.4114 0.9629
Cl: 0.2959 0.1364 0.1666
Cl: 0.2959 0.3636 0.6666
Cl: 0.4161 0.1260 0.8544
Cl: 0.4161 0.3740 0.3544
Cl: 0.5839 0.6260 0.6456
Cl: 0.5839 0.8740 0.1456
Cl: 0.7041 0.6364 0.3334
Cl: 0.7041 0.8636 0.8334
Cl: 0.7115 0.5886 0.0371
Cl: 0.7115 0.9114 0.5371
Cl: 0.8173 0.1146 0.3075
Cl: 0.8173 0.3854 0.8075
O: 0.0221 0.6778 0.5307
O: 0.0221 0.8222 0.0307
O: 0.0288 0.6380 0.7708
O: 0.0288 0.8620 0.2708
O: 0.3153 0.7121 0.9164
O: 0.3153 0.7879 0.4164
O: 0.6847 0.2121 0.5836
O: 0.6847 0.2879 0.0836
O: 0.9712 0.1380 0.7292
O: 0.9712 0.3620 0.2292
O: 0.9779 0.1778 0.9693
O: 0.9779 0.3222 0.4693

Values from the calculation:
Crystal system   monoclinic
Total moment   0.00 μB/f.u.



Record 8
The following is a GGA-PBEsol calculation of an optimized crystal structure of SrSn2H10Cl6O5, from Alexandria.

Cell lengths 9.3856, 9.3856, 8.9110 Å; angles 110.29, 110.29, 77.28 degrees
Sites, in units of the cell vectors:
Sr: 0.0108 0.9892 0.7500
Sr: 0.9892 0.0108 0.2500
Sn: 0.2616 0.4618 0.0242
Sn: 0.4618 0.2616 0.5242
Sn: 0.5382 0.7384 0.4758
Sn: 0.7384 0.5382 0.9758
H: 0.0529 0.2476 0.6258
H: 0.0694 0.3042 0.2262
H: 0.1061 0.3410 0.4224
H: 0.1216 0.7674 0.4517
H: 0.2157 0.6665 0.7273
H: 0.2326 0.8784 0.0483
H: 0.2476 0.0529 0.1258
H: 0.3042 0.0694 0.7262
H: 0.3335 0.7843 0.7727
H: 0.3410 0.1061 0.9224
H: 0.6590 0.8939 0.0776
H: 0.6665 0.2157 0.2273
H: 0.6958 0.9306 0.2738
H: 0.7524 0.9471 0.8742
H: 0.7674 0.1216 0.9517
H: 0.7843 0.3335 0.2727
H: 0.8784 0.2326 0.5483
H: 0.8939 0.6590 0.5776
H: 0.9306 0.6958 0.7738
H: 0.9471 0.7524 0.3742
Cl: 0.0237 0.6805 0.0254
Cl: 0.1752 0.4432 0.6941
Cl: 0.3091 0.5728 0.3930
Cl: 0.3195 0.9763 0.4746
Cl: 0.4272 0.6909 0.1070
Cl: 0.4432 0.1752 0.1941
Cl: 0.5568 0.8248 0.8059
Cl: 0.5728 0.3091 0.8930
Cl: 0.6805 0.0237 0.5254
Cl: 0.6909 0.4272 0.6070
Cl: 0.8248 0.5568 0.3059
Cl: 0.9763 0.3195 0.9746
O: 0.0206 0.8300 0.4340
O: 0.1097 0.2572 0.3190
O: 0.1700 0.9794 0.0660
O: 0.2243 0.7757 0.7500
O: 0.2572 0.1097 0.8190
O: 0.7428 0.8903 0.1810
O: 0.7757 0.2243 0.2500
O: 0.8300 0.0206 0.9340
O: 0.8903 0.7428 0.6810
O: 0.9794 0.1700 0.5660

Values from the calculation:
Crystal system   monoclinic
Total moment   0.00 μB/f.u.



Which Fermi-level density of states belongs to each record? In order, 0.00 0.00 0.00 0.00 0.00 0.00 0.00 0.00 states/eV per cell.
Which calculated volume belongs to each record? In order, 202.25 320.06 71.99 242.05 185.67 1226.22 205.57 343.03 Å³/f.u..
Which energy belongs to each record? In order, -5.025 -4.672 -6.150 -4.629 -4.701 -4.970 -4.451 -4.619 eV/atom.